Record 1
! AgClF2 | Alexandria | PBE | relaxed; values from VASP
! Space-group type: R-3m, No. 166
! Polymorph energy (0 for the lowest one): 107.9 meV per atom
! Formation energy from raw total energies: -692 meV/atom
&SYSTEM
  ibrav = 0, nat = 4, ntyp = 3
/
ATOMIC_SPECIES
Ag 107.87 Ag.upf
Cl 35.45 Cl.upf
F 19.00 F.upf
CELL_PARAMETERS angstrom
1.9356 1.1175 6.0779
-1.9356 1.1175 6.0779
0.0000 -2.2350 6.0779
ATOMIC_POSITIONS crystal
Ag 0.0000 0.0000 0.0000
Cl 0.5000 0.5000 0.5000
F 0.3948 0.3948 0.3948
F 0.6052 0.6052 0.6052

=====

Record 2
! Ag3Cl4F | Alexandria | PBE | relaxed; values from VASP
! Space-group type: Cc, No. 9
! Formation energy from raw total energies: -508 meV/atom
&SYSTEM
  ibrav = 0, nat = 16, ntyp = 3
/
ATOMIC_SPECIES
Ag 107.87 Ag.upf
Cl 35.45 Cl.upf
F 19.00 F.upf
CELL_PARAMETERS angstrom
6.2052 -3.2013 0.0000
6.2052 3.2013 0.0000
-5.5957 0.0000 10.1987
ATOMIC_POSITIONS crystal
Ag 0.0005 0.9995 0.5000
Ag 0.1976 0.2674 0.3989
Ag 0.2674 0.1976 0.8989
Ag 0.6204 0.6561 0.2169
Ag 0.6561 0.6204 0.7169
Ag 0.9995 0.0005 0.0000
Cl 0.0389 0.3939 0.6584
Cl 0.2467 0.8304 0.7469
Cl 0.2934 0.5640 0.0358
Cl 0.3734 0.8667 0.4337
Cl 0.3939 0.0389 0.1584
Cl 0.5640 0.2934 0.5358
Cl 0.8304 0.2467 0.2469
Cl 0.8667 0.3734 0.9337
F 0.6509 0.9730 0.8789
F 0.9730 0.6509 0.3789

=====

Record 3
! AgClF3 | Alexandria | PBE | relaxed; values from VASP
! Space-group type: Pm-3m, No. 221
! Polymorph energy (0 for the lowest one): 474.6 meV per atom
! Formation energy from raw total energies: -312 meV/atom
&SYSTEM
  ibrav = 0, nat = 5, ntyp = 3
/
ATOMIC_SPECIES
Ag 107.87 Ag.upf
Cl 35.45 Cl.upf
F 19.00 F.upf
CELL_PARAMETERS angstrom
4.3384 0.0000 0.0000
0.0000 4.3384 0.0000
0.0000 0.0000 4.3384
ATOMIC_POSITIONS crystal
Ag 0.0000 0.0000 0.0000
Cl 0.5000 0.5000 0.5000
F 0.0000 0.5000 0.5000
F 0.5000 0.0000 0.5000
F 0.5000 0.5000 0.0000

=====

Record 4
! AgClF2 | Alexandria | PBE | relaxed; values from VASP
! Space-group type: Fm-3m, No. 225
! Polymorph energy (0 for the lowest one): 535.0 meV per atom
! Formation energy from raw total energies: -265 meV/atom
&SYSTEM
  ibrav = 0, nat = 4, ntyp = 3
/
ATOMIC_SPECIES
Ag 107.87 Ag.upf
Cl 35.45 Cl.upf
F 19.00 F.upf
CELL_PARAMETERS angstrom
0.0000 3.0639 3.0639
3.0639 0.0000 3.0639
3.0639 3.0639 0.0000
ATOMIC_POSITIONS crystal
Ag 0.0000 0.0000 0.0000
Cl 0.5000 0.5000 0.5000
F 0.2500 0.2500 0.2500
F 0.7500 0.7500 0.7500

=====

Record 5
! Ag3Cl2F3 | Alexandria | PBE | relaxed; values from VASP
! Space-group type: Cm, No. 8
! Formation energy from raw total energies: -828 meV/atom
&SYSTEM
  ibrav = 0, nat = 16, ntyp = 3
/
ATOMIC_SPECIES
Ag 107.87 Ag.upf
Cl 35.45 Cl.upf
F 19.00 F.upf
CELL_PARAMETERS angstrom
5.9731 -2.5352 0.0000
5.9731 2.5352 0.0000
-0.2858 0.0000 11.4260
ATOMIC_POSITIONS crystal
Ag 0.0000 0.0000 0.0000
Ag 0.0007 0.0007 0.6472
Ag 0.2642 0.2642 0.4775
Ag 0.2879 0.2879 0.1239
Ag 0.3329 0.3329 0.8077
Ag 0.9304 0.9304 0.3173
Cl 0.0969 0.0969 0.2003
Cl 0.4658 0.4658 0.9952
Cl 0.4797 0.4797 0.6541
Cl 0.7747 0.7747 0.4652
F 0.0438 0.0438 0.4623
F 0.2108 0.2108 0.6592
F 0.2109 0.2109 0.9475
F 0.3460 0.3460 0.3087
F 0.8364 0.8364 0.1586
F 0.9327 0.9327 0.8203

=====

Record 6
! Ag5Cl3F12 | Alexandria | PBE | relaxed; values from VASP
! Space-group type: Ia-3d, No. 230
! Formation energy from raw total energies: -608 meV/atom
&SYSTEM
  ibrav = 0, nat = 80, ntyp = 3
/
ATOMIC_SPECIES
Ag 107.87 Ag.upf
Cl 35.45 Cl.upf
F 19.00 F.upf
CELL_PARAMETERS angstrom
-7.0810 7.0810 7.0810
7.0810 -7.0810 7.0810
7.0810 7.0810 -7.0810
ATOMIC_POSITIONS crystal
Ag 0.0000 0.0000 0.0000
Ag 0.0000 0.0000 0.5000
Ag 0.0000 0.5000 0.0000
Ag 0.0000 0.5000 0.5000
Ag 0.1250 0.7500 0.8750
Ag 0.1250 0.8750 0.2500
Ag 0.2500 0.1250 0.8750
Ag 0.2500 0.6250 0.3750
Ag 0.3750 0.2500 0.6250
Ag 0.3750 0.6250 0.7500
Ag 0.5000 0.0000 0.0000
Ag 0.5000 0.0000 0.5000
Ag 0.5000 0.5000 0.0000
Ag 0.5000 0.5000 0.5000
Ag 0.6250 0.3750 0.2500
Ag 0.6250 0.7500 0.3750
Ag 0.7500 0.3750 0.6250
Ag 0.7500 0.8750 0.1250
Ag 0.8750 0.1250 0.7500
Ag 0.8750 0.2500 0.1250
Cl 0.1250 0.2500 0.3750
Cl 0.1250 0.3750 0.7500
Cl 0.2500 0.3750 0.1250
Cl 0.2500 0.8750 0.6250
Cl 0.3750 0.1250 0.2500
Cl 0.3750 0.7500 0.1250
Cl 0.6250 0.2500 0.8750
Cl 0.6250 0.8750 0.7500
Cl 0.7500 0.1250 0.3750
Cl 0.7500 0.6250 0.8750
Cl 0.8750 0.6250 0.2500
Cl 0.8750 0.7500 0.6250
F 0.0054 0.1833 0.0732
F 0.0054 0.3222 0.9323
F 0.0677 0.5732 0.3899
F 0.0677 0.9946 0.6778
F 0.0732 0.0054 0.1833
F 0.0732 0.5677 0.8899
F 0.1101 0.6833 0.6778
F 0.1101 0.9268 0.4323
F 0.1778 0.1833 0.6101
F 0.1778 0.4946 0.5677
F 0.1833 0.0732 0.0054
F 0.1833 0.6101 0.1778
F 0.3167 0.3222 0.8899
F 0.3167 0.4946 0.4268
F 0.3222 0.8899 0.3167
F 0.3222 0.9323 0.0054
F 0.3899 0.0677 0.5732
F 0.3899 0.8222 0.8167
F 0.4268 0.3167 0.4946
F 0.4268 0.6101 0.9323
F 0.4323 0.1101 0.9268
F 0.4323 0.8222 0.5054
F 0.4946 0.4268 0.3167
F 0.4946 0.5677 0.1778
F 0.5054 0.4323 0.8222
F 0.5054 0.5732 0.6833
F 0.5677 0.1778 0.4946
F 0.5677 0.8899 0.0732
F 0.5732 0.3899 0.0677
F 0.5732 0.6833 0.5054
F 0.6101 0.1778 0.1833
F 0.6101 0.9323 0.4268
F 0.6778 0.0677 0.9946
F 0.6778 0.1101 0.6833
F 0.6833 0.5054 0.5732
F 0.6833 0.6778 0.1101
F 0.8167 0.3899 0.8222
F 0.8167 0.9268 0.9946
F 0.8222 0.5054 0.4323
F 0.8222 0.8167 0.3899
F 0.8899 0.0732 0.5677
F 0.8899 0.3167 0.3222
F 0.9268 0.4323 0.1101
F 0.9268 0.9946 0.8167
F 0.9323 0.0054 0.3222
F 0.9323 0.4268 0.6101
F 0.9946 0.6778 0.0677
F 0.9946 0.8167 0.9268

=====

Record 7
! AgClF3 | Alexandria | PBE | relaxed; values from VASP
! Space-group type: P-1, No. 2
! Polymorph energy (0 for the lowest one): 0.0 meV per atom
! Formation energy from raw total energies: -787 meV/atom
&SYSTEM
  ibrav = 0, nat = 10, ntyp = 3
/
ATOMIC_SPECIES
Ag 107.87 Ag.upf
Cl 35.45 Cl.upf
F 19.00 F.upf
CELL_PARAMETERS angstrom
4.1321 0.0000 0.0000
0.1552 7.0835 0.0000
0.4922 1.7137 7.2577
ATOMIC_POSITIONS crystal
Ag 0.0009 0.2550 0.4899
Ag 0.9991 0.7450 0.5101
Cl 0.3419 0.9636 0.9211
Cl 0.6581 0.0364 0.0789
F 0.0262 0.5910 0.3188
F 0.0281 0.0837 0.3091
F 0.4985 0.7498 0.5124
F 0.5015 0.2502 0.4876
F 0.9719 0.9163 0.6909
F 0.9738 0.4090 0.6812

=====

Record 8
! Ag4Cl2F3 | Alexandria | PBE | relaxed; values from VASP
! Space-group type: C2/c, No. 15
! Formation energy from raw total energies: -789 meV/atom
&SYSTEM
  ibrav = 0, nat = 18, ntyp = 3
/
ATOMIC_SPECIES
Ag 107.87 Ag.upf
Cl 35.45 Cl.upf
F 19.00 F.upf
CELL_PARAMETERS angstrom
4.5486 -6.2072 0.0000
4.5486 6.2072 0.0000
-0.2921 0.0000 6.6997
ATOMIC_POSITIONS crystal
Ag 0.0660 0.7036 0.5104
Ag 0.2244 0.4738 0.9995
Ag 0.2964 0.9340 0.9896
Ag 0.4738 0.2244 0.4995
Ag 0.5262 0.7756 0.5005
Ag 0.7036 0.0660 0.0104
Ag 0.7756 0.5262 0.0005
Ag 0.9340 0.2964 0.4896
Cl 0.2354 0.3430 0.6574
Cl 0.3430 0.2354 0.1574
Cl 0.6570 0.7646 0.8426
Cl 0.7646 0.6570 0.3426
F 0.0840 0.6652 0.8663
F 0.3047 0.6953 0.2500
F 0.3348 0.9160 0.6337
F 0.6652 0.0840 0.3663
F 0.6953 0.3047 0.7500
F 0.9160 0.3348 0.1337

=====

Number 4 is which compound?
AgClF2